# PBE Nb3VGe, relaxed
data_Nb3VGe
_chemical_formula_sum 'Nb3 V1 Ge1'
_space_group_name_H-M_alt 'P 1'
_space_group_IT_number 1
_cell_length_a 4.632
_cell_length_b 4.632
_cell_length_c 4.632
_cell_angle_alpha 90.00
_cell_angle_beta 90.00
_cell_angle_gamma 90.00
loop_
_space_group_symop_operation_xyz
'x,y,z'
loop_
_atom_site_label
_atom_site_fract_x
_atom_site_fract_y
_atom_site_fract_z
Nb1 0.000 0.000 0.500
Nb2 0.000 0.500 0.000
Nb3 0.500 0.000 0.000
V1 0.000 0.000 0.000
Ge1 0.500 0.500 0.500
# Polymorph energy (0 for the lowest one) in eV per formula unit: 0.00
# DFT formation energy in eV per atom: 0.9093